1.
The following is a PBEsol calculation of an optimized crystal structure of MoPtRh2, from Alexandria.

a = 4.6791 Å, b = 4.6791 Å, c = 4.6791 Å
α = 131.25°, β = 131.25°, γ = 71.42°
Closest atoms and distances in Å follow each position.
Positions (direct):
Mo 0.0000 0.0000 0.0000  8 Rh 2.71, 4 Pt 2.73
Pt 0.5000 0.5000 0.0000  8 Rh 2.71, 4 Mo 2.73
Rh 0.2500 0.7500 0.5000  4 Mo 2.71, 4 Pt 2.71, 4 Rh 2.73
Rh 0.7500 0.2500 0.5000  4 Mo 2.71, 4 Pt 2.71, 4 Rh 2.73

Properties
The value obtained for the density of states at the Fermi level is 1.012 states/eV per atom. The formation energy comes out at -0.2421 eV/atom. The energy relative to the lowest polymorph listed for this composition comes out at 0.0000 eV per atom.

=====

2.
The following is a PBEsol calculation of an optimized crystal structure of TlSiP, from Alexandria.

a = 6.5401 Å, b = 6.5401 Å, c = 6.5401 Å
α = 151.30°, β = 151.30°, γ = 41.04°
Closest atoms and distances in Å follow each position.
Positions (direct):
Tl 0.0000 0.0000 0.0000  1 P 2.78, 1 Si 2.80
Si 0.2285 0.2285 0.0000  4 P 2.36
P 0.7728 0.7728 0.0000  4 Si 2.36

Properties
The value obtained for the formation energy from raw total energies is 206 meV per atom. The value obtained for the density of states at the Fermi level is 0.502 states/eV per atom.

=====

3.
The following is a PBEsol calculation of an optimized crystal structure of CrMo2Pb, from Alexandria.

a = 2.9575 Å, b = 2.9575 Å, c = 7.5626 Å
α = 90.00°, β = 90.00°, γ = 94.94°
Closest atoms and distances in Å follow each position.
Positions (direct):
Cr 0.0000 0.0000 0.0000  8 Mo 2.49-2.64
Mo 0.5000 0.5000 0.1970  4 Cr 2.49-2.64
Mo 0.5000 0.5000 0.8030  4 Cr 2.49-2.64
Pb 0.0000 0.0000 0.5000  4 Pb 2.96, 8 Mo 3.04-3.16

Properties
The value obtained for the density of states at the Fermi level is 0.871 states/eV per atom. The formation energy comes out at 0.5164 eV/atom.

=====

4.
The following is a PBEsol calculation of an optimized crystal structure of FePOs2, from Alexandria.

a = 7.9806 Å, b = 7.9806 Å, c = 7.9806 Å
α = 19.54°, β = 19.54°, γ = 19.54°
Closest atoms and distances in Å follow each position.
Positions (direct):
Fe 0.0000 0.0000 0.0000  3 P 2.27
P 0.7368 0.7368 0.7368  3 Fe 2.27, 3 Os 2.47
Os 0.2454 0.2454 0.2454  3 Fe 2.59, 9 Os 2.71
Os 0.4847 0.4847 0.4847  3 P 2.47, 9 Os 2.71

Properties
The value obtained for the density of states at the Fermi level is 1.052 states/eV per atom. The formation energy comes out at 0.0151 eV/atom.

=====

5.
The following is a PBEsol calculation of an optimized crystal structure of Cu2SbW, from Alexandria.

a = 3.3828 Å, b = 3.3828 Å, c = 5.3638 Å
α = 90.00°, β = 90.00°, γ = 90.00°
Closest atoms and distances in Å follow each position.
Positions (direct):
Cu 0.0000 0.0000 0.2284  1 Cu 2.45, 4 W 2.69
Cu 0.0000 0.0000 0.7716  1 Cu 2.45, 4 W 2.69
Sb 0.5000 0.5000 0.5000  2 W 2.68, 8 Cu 2.80
W 0.5000 0.5000 0.0000  2 Sb 2.68, 8 Cu 2.69

Properties
The value obtained for the formation energy from raw total energies is 512 meV per atom. The value obtained for the density of states at the Fermi level is 0.848 states/eV per atom.

=====

6.
The following is a PBEsol calculation of an optimized crystal structure of BiIrC2S, from Alexandria.

a = 3.9493 Å, b = 3.9493 Å, c = 5.1609 Å
α = 90.00°, β = 90.00°, γ = 90.00°
Closest atoms and distances in Å follow each position.
Positions (direct):
Bi 0.0000 0.0000 0.0000  4 S 2.79
Ir 0.5000 0.5000 0.5000  4 C 1.97
C 0.0000 0.5000 0.5000  2 Ir 1.97
C 0.5000 0.0000 0.5000  2 Ir 1.97
S 0.5000 0.5000 0.0000  2 Ir 2.58, 4 Bi 2.79

Properties
The value obtained for the formation energy from raw total energies is 1204 meV per atom. The value obtained for the density of states at the Fermi level is 0.648 states/eV per atom.

=====

no.,volume (Å³ per atom)
1,14.17
2,21.46
3,16.48
4,12.43
5,15.35
6,16.10